# 1
{"formula": "La3Ga2SbPd9", "functional": "PBE", "state": "optimized geometry", "cell": [[-2.012, -5.332, -3.481], [5.845, 2.902, -1.419], [4.098, -5.380, 5.874]], "species": ["Ga", "Ga", "La", "La", "La", "Pd", "Pd", "Pd", "Pd", "Pd", "Pd", "Pd", "Pd", "Pd", "Sb"], "fractional_positions": [[0.667, 0.333, 0.823], [0.333, 0.667, 0.177], [0.000, 0.000, 0.000], [0.333, 0.667, 0.728], [0.667, 0.333, 0.272], [0.500, 0.000, 0.000], [0.282, 0.141, 0.730], [0.500, 0.500, 0.000], [0.000, 0.500, 0.000], [0.141, 0.859, 0.270], [0.718, 0.859, 0.270], [0.859, 0.718, 0.730], [0.859, 0.141, 0.730], [0.141, 0.282, 0.270], [0.000, 0.000, 0.500]], "m_tot_mub_per_cell": 0.00, "dft_energy_ev_per_atom": -5.359}


# 2
{"formula": "Sm3Te2Ru", "functional": "PBE", "state": "optimized geometry", "cell": [[4.224, 0.000, -0.962], [-0.219, 4.218, -0.963], [0.035, 0.038, 9.904]], "species": ["Ru", "Te", "Te", "Sm", "Sm", "Sm"], "fractional_positions": [[0.434, 0.436, 0.874], [0.758, 0.759, 0.520], [0.111, 0.112, 0.227], [0.934, 0.936, 0.874], [0.573, 0.574, 0.151], [0.296, 0.297, 0.597]], "m_tot_mub_per_cell": 0.00, "dft_energy_ev_per_atom": -5.902, "de_polymorph_mev_per_atom": 0}


# 3
{"formula": "Tl2BiAu9", "functional": "PBE", "state": "optimized geometry", "cell": [[-0.603, -0.589, 5.576], [4.351, 1.041, 3.432], [-1.448, 9.226, 3.669]], "species": ["Au", "Au", "Au", "Au", "Au", "Au", "Au", "Au", "Au", "Tl", "Tl", "Bi"], "fractional_positions": [[0.082, 0.584, 0.750], [0.584, 0.584, 0.750], [0.416, 0.918, 0.250], [0.668, 0.668, 0.996], [0.332, 0.332, 0.004], [0.416, 0.416, 0.250], [0.918, 0.416, 0.250], [0.584, 0.082, 0.750], [0.500, 0.500, 0.500], [0.136, 0.136, 0.593], [0.864, 0.864, 0.407], [0.000, 0.000, 0.000]], "m_tot_mub_per_cell": 0.00, "dft_energy_ev_per_atom": -3.158}


# 4
{"formula": "VP2I2", "functional": "PBE", "state": "optimized geometry", "cell": [[3.339, 0.000, 0.000], [0.000, 3.339, 0.000], [1.670, 1.670, 11.176]], "species": ["I", "I", "V", "P", "P"], "fractional_positions": [[0.576, 0.576, 0.849], [0.424, 0.424, 0.151], [0.000, 0.000, 0.000], [0.250, 0.750, 0.500], [0.750, 0.250, 0.500]], "m_tot_mub_per_cell": 0.63, "dft_energy_ev_per_atom": -4.262, "de_polymorph_mev_per_atom": 0}


# 5
{"formula": "SrAc4S7", "functional": "PBE", "state": "optimized geometry", "cell": [[-2.082, 3.367, 1.470], [-4.716, -3.653, -4.375], [-0.982, -5.442, 11.071]], "species": ["Ac", "Ac", "Ac", "Ac", "S", "S", "S", "S", "S", "S", "S", "Sr"], "fractional_positions": [[0.006, 0.012, 0.999], [0.313, 0.626, 0.206], [0.700, 0.400, 0.810], [0.110, 0.219, 0.427], [0.480, 0.961, 0.474], [0.957, 0.914, 0.212], [0.049, 0.099, 0.782], [0.732, 0.463, 0.352], [0.258, 0.516, 0.651], [0.664, 0.328, 0.052], [0.348, 0.696, 0.956], [0.883, 0.766, 0.579]], "m_tot_mub_per_cell": 0.00, "dft_energy_ev_per_atom": -6.054}


# 6
{"formula": "CrMoRh2", "functional": "PBE", "state": "optimized geometry", "cell": [[4.688, -0.004, 0.010], [1.585, 4.412, -0.010], [-3.143, -2.196, 2.699]], "species": ["Mo", "Rh", "Rh", "Cr"], "fractional_positions": [[0.250, 0.750, 0.500], [0.000, 0.000, 0.000], [0.500, 0.500, 0.000], [0.750, 0.250, 0.500]], "m_tot_mub_per_cell": 0.54, "dft_energy_ev_per_atom": -8.901, "de_polymorph_mev_per_atom": 0}


# 7
{"formula": "TbYCdTc", "functional": "PBE", "state": "optimized geometry", "cell": [[5.057, 0.000, 0.000], [2.529, 4.380, 0.000], [2.529, 1.460, 4.129]], "species": ["Tb", "Cd", "Y", "Tc"], "fractional_positions": [[0.250, 0.250, 0.250], [0.000, 0.000, 0.000], [0.750, 0.750, 0.750], [0.500, 0.500, 0.500]], "m_tot_mub_per_cell": 0.00, "dft_energy_ev_per_atom": -5.681}


# 8
{"formula": "PuUInTc", "functional": "PBE", "state": "optimized geometry", "cell": [[-0.102, 0.603, -4.817], [-0.994, -3.768, -2.898], [-4.229, -0.182, -2.381]], "species": ["In", "U", "Pu", "Tc"], "fractional_positions": [[0.000, 0.000, 0.000], [0.500, 0.500, 0.500], [0.250, 0.250, 0.250], [0.750, 0.750, 0.750]], "m_tot_mub_per_cell": 6.32, "dft_energy_ev_per_atom": -9.615}